Here is CsLiOsO2 at its PBEsol-relaxed geometry from Alexandria via LeMat-Bulk. Energies are from meta-GGA SCAN.

Unit cell a=4.4538 b=4.4538 c=5.2139 alpha=90.00 beta=90.00 gamma=90.00
Space group P4/mmm (No. 123)
One atom of each set of equivalent atoms:
Cs (0.0000, 0.0000, 0.0000) x1
Li (0.0000, 0.0000, 0.5000) x1
Os (0.5000, 0.5000, 0.5000) x1
O (0.0000, 0.5000, 0.0000) x2

Calculated values
E_form (uncorrected) = 1.547 eV per atom
E_tot = -23.361 eV per atom

=====

Here is BaHfHgH2 at its PBEsol-relaxed geometry from Alexandria via LeMat-Bulk. Energies are from meta-GGA SCAN.

Unit cell a=4.3845 b=4.3845 c=6.3511 alpha=90.00 beta=90.00 gamma=90.00
Space group P4/mmm (No. 123)
One atom of each set of equivalent atoms:
Ba (0.0000, 0.0000, 0.0000) x1
Hf (0.5000, 0.5000, 0.5000) x1
Hg (0.0000, 0.0000, 0.5000) x1
H (0.0000, 0.5000, 0.0000) x2

Calculated values
E_tot = -34.704 eV per atom

=====

Here is Sr2AgAu2 at its PBEsol-relaxed geometry from Alexandria via LeMat-Bulk. Energies are from meta-GGA SCAN.

Unit cell a=7.8388 b=7.8388 c=4.2190 alpha=90.00 beta=90.00 gamma=90.00
Space group P4/mbm (No. 127)
One atom of each set of equivalent atoms:
Sr (0.1746, 0.3254, 0.0000) x4
Ag (0.0000, 0.0000, 0.5000) x2
Au (0.1274, 0.6274, 0.5000) x4

Calculated values
E_tot = -43.566 eV per atom

=====

Here is KTaSb2I at its PBEsol-relaxed geometry from Alexandria via LeMat-Bulk. Energies are from meta-GGA SCAN.

Unit cell a=5.2952 b=5.2952 c=5.9528 alpha=90.00 beta=90.00 gamma=90.00
Space group P4/mmm (No. 123)
One atom of each set of equivalent atoms:
K (0.0000, 0.0000, 0.0000) x1
Ta (0.5000, 0.5000, 0.5000) x1
Sb (0.0000, 0.5000, 0.5000) x2
I (0.5000, 0.5000, 0.0000) x1

Calculated values
E_form (uncorrected) = -0.092 eV per atom
E_tot = -37.327 eV per atom

=====

Here is HOsNO2 at its PBEsol-relaxed geometry from Alexandria via LeMat-Bulk. Energies are from meta-GGA SCAN.

Unit cell a=3.7028 b=3.7028 c=2.6493 alpha=90.00 beta=90.00 gamma=90.00
Space group P4/mmm (No. 123)
One atom of each set of equivalent atoms:
H (0.0000, 0.0000, 0.0000) x1
Os (0.5000, 0.5000, 0.5000) x1
N (0.0000, 0.0000, 0.5000) x1
O (0.0000, 0.5000, 0.0000) x2

Calculated values
E_tot = -18.033 eV per atom

=====

Here is Ba3BPO7 at its PBEsol-relaxed geometry from Alexandria via LeMat-Bulk. Energies are from meta-GGA SCAN.

Unit cell a=5.5091 b=5.5091 c=14.6643 alpha=90.00 beta=90.00 gamma=120.00
Space group P6_3mc (No. 186)
One atom of each set of equivalent atoms:
Ba (0.0000, 0.0000, 0.0000) x2
Ba (0.3333, 0.6667, 0.1203) x2
Ba (0.3333, 0.6667, 0.8367) x2
B (0.3333, 0.6667, 0.4778) x2
P (0.0000, 0.0000, 0.2219) x2
O (0.0000, 0.0000, 0.3274) x2
O (0.0409, 0.5205, 0.4770) x6
O (0.1523, 0.3046, 0.6849) x6

Calculated values
E_form (uncorrected) = -3.080 eV per atom
E_tot = -18.088 eV per atom

=====

Here is TaCdIn2Mo at its PBEsol-relaxed geometry from Alexandria via LeMat-Bulk. Energies are from meta-GGA SCAN.

Unit cell a=4.9481 b=4.9481 c=5.1580 alpha=90.00 beta=90.00 gamma=90.00
Space group P4/mmm (No. 123)
One atom of each set of equivalent atoms:
Ta (0.0000, 0.0000, 0.0000) x1
Cd (0.0000, 0.0000, 0.5000) x1
In (0.0000, 0.5000, 0.5000) x2
Mo (0.5000, 0.5000, 0.0000) x1

Calculated values
E_tot = -37.917 eV per atom

=====

Here is TaCu3Se3S at its PBEsol-relaxed geometry from Alexandria via LeMat-Bulk. Energies are from meta-GGA SCAN.

Unit cell a=7.7731 b=7.7731 c=9.7830 alpha=90.00 beta=90.00 gamma=120.00
Space group R3m (No. 160, hexagonal axes)
One atom of each set of equivalent atoms:
Ta (0.0000, 0.0000, 0.0000) x3
Cu (0.1694, 0.3388, 0.8368) x9
Se (0.0101, 0.5051, 0.2532) x9
S (0.0000, 0.0000, 0.2361) x3

Calculated values
E_form (uncorrected) = -0.595 eV per atom
E_tot = -23.350 eV per atom

=====

Here is Cr3SnBr at its PBEsol-relaxed geometry from Alexandria via LeMat-Bulk. Energies are from meta-GGA SCAN.

Unit cell a=5.1372 b=5.1372 c=5.1372 alpha=90.00 beta=90.00 gamma=90.00
Space group Pm-3m (No. 221)
One atom of each set of equivalent atoms:
Cr (0.0000, 0.0000, 0.5000) x3
Sn (0.0000, 0.0000, 0.0000) x1
Br (0.5000, 0.5000, 0.5000) x1

Calculated values
E_form (uncorrected) = 0.665 eV per atom
E_tot = -21.442 eV per atom

=====

Here is KNb2SiAg at its PBEsol-relaxed geometry from Alexandria via LeMat-Bulk. Energies are from meta-GGA SCAN.

Unit cell a=4.8369 b=4.8369 c=4.8430 alpha=90.00 beta=90.00 gamma=90.00
Space group P4/mmm (No. 123)
One atom of each set of equivalent atoms:
K (0.0000, 0.0000, 0.0000) x1
Nb (0.0000, 0.5000, 0.5000) x2
Si (0.5000, 0.5000, 0.5000) x1
Ag (0.5000, 0.5000, 0.0000) x1

Calculated values
E_form (uncorrected) = 0.983 eV per atom
E_tot = -22.211 eV per atom

=====

Here is RbMgNb2N at its PBEsol-relaxed geometry from Alexandria via LeMat-Bulk. Energies are from meta-GGA SCAN.

Unit cell a=4.8898 b=4.8898 c=4.3675 alpha=90.00 beta=90.00 gamma=90.00
Space group P4/mmm (No. 123)
One atom of each set of equivalent atoms:
Rb (0.0000, 0.0000, 0.0000) x1
Mg (0.5000, 0.5000, 0.5000) x1
Nb (0.0000, 0.5000, 0.0000) x2
N (0.0000, 0.0000, 0.5000) x1

Calculated values
E_form (uncorrected) = 3.031 eV per atom
E_tot = -17.222 eV per atom

=====

Here is SrTa2P at its PBEsol-relaxed geometry from Alexandria via LeMat-Bulk. Energies are from meta-GGA SCAN.

Unit cell a=3.2985 b=3.2985 c=7.5174 alpha=90.00 beta=90.00 gamma=90.00
Space group P4/mmm (No. 123)
One atom of each set of equivalent atoms:
Sr (0.0000, 0.0000, 0.0000) x1
Ta (0.5000, 0.5000, 0.3342) x2
P (0.0000, 0.0000, 0.5000) x1

Calculated values
E_tot = -41.225 eV per atom

=====

Here is Ta7Mo at its PBEsol-relaxed geometry from Alexandria via LeMat-Bulk. Energies are from meta-GGA SCAN.

Unit cell a=6.5081 b=6.5081 c=6.5081 alpha=90.00 beta=90.00 gamma=90.00
Space group Im-3m (No. 229)
One atom of each set of equivalent atoms:
Ta (0.0000, 0.0000, 0.5000) x6
Ta (0.2500, 0.2500, 0.2500) x8
Mo (0.0000, 0.0000, 0.0000) x2

Calculated values
E_tot = -62.658 eV per atom

=====

Here is VIrRu2 at its PBEsol-relaxed geometry from Alexandria via LeMat-Bulk. Energies are from meta-GGA SCAN.

Unit cell a=5.0396 b=5.0547 c=5.3584 alpha=105.95 beta=105.37 gamma=115.19
Space group P1 (No. 1)
One atom of each set of equivalent atoms:
V (0.0000, 0.0000, 0.0000) x1
V (0.4388, 0.9148, 0.3527) x1
Ir (0.5092, 0.5000, 0.0083) x1
Ir (0.9304, 0.4219, 0.8473) x1
Ru (0.0071, 0.9927, 0.4959) x1
Ru (0.4297, 0.9209, 0.8502) x1
Ru (0.5040, 0.4906, 0.4956) x1
Ru (0.9265, 0.4139, 0.3379) x1

Calculated values
E_tot = -39.928 eV per atom

=====

Here is Mn2FeRu at its PBEsol-relaxed geometry from Alexandria via LeMat-Bulk. Energies are from meta-GGA SCAN.

Unit cell a=5.7225 b=5.7225 c=5.7225 alpha=90.00 beta=90.00 gamma=90.00
Space group F-43m (No. 216)
One atom of each set of equivalent atoms:
Mn (0.0000, 0.0000, 0.0000) x4
Mn (0.2500, 0.2500, 0.2500) x4
Fe (0.0000, 0.0000, 0.5000) x4
Ru (0.2500, 0.2500, 0.7500) x4

Calculated values
E_tot = -22.358 eV per atom

=====

Here is Tl2SiSnAs at its PBEsol-relaxed geometry from Alexandria via LeMat-Bulk. Energies are from meta-GGA SCAN.

Unit cell a=5.5925 b=5.5925 c=5.1472 alpha=90.00 beta=90.00 gamma=90.00
Space group P4/mmm (No. 123)
One atom of each set of equivalent atoms:
Tl (0.0000, 0.5000, 0.0000) x2
Si (0.0000, 0.0000, 0.5000) x1
Sn (0.5000, 0.5000, 0.0000) x1
As (0.5000, 0.5000, 0.5000) x1

Calculated values
E_form (uncorrected) = 1.025 eV per atom
E_tot = -41.144 eV per atom

=====

Here is YNbB2W at its PBEsol-relaxed geometry from Alexandria via LeMat-Bulk. Energies are from meta-GGA SCAN.

Unit cell a=4.2006 b=4.2006 c=4.9467 alpha=90.00 beta=90.00 gamma=90.00
Space group P4/mmm (No. 123)
One atom of each set of equivalent atoms:
Y (0.0000, 0.0000, 0.0000) x1
Nb (0.0000, 0.0000, 0.5000) x1
B (0.0000, 0.5000, 0.0000) x2
W (0.5000, 0.5000, 0.5000) x1

Calculated values
E_tot = -26.242 eV per atom

=====

Here is Y2Cd2In at its PBEsol-relaxed geometry from Alexandria via LeMat-Bulk. Energies are from meta-GGA SCAN.

Unit cell a=7.4665 b=7.4665 c=4.4574 alpha=90.00 beta=90.00 gamma=90.00
Space group P4/mbm (No. 127)
One atom of each set of equivalent atoms:
Y (0.1697, 0.3303, 0.0000) x4
Cd (0.1309, 0.6309, 0.5000) x4
In (0.0000, 0.0000, 0.5000) x2

Calculated values
E_tot = -30.483 eV per atom

=====

Here is ZrV2Mo at its PBEsol-relaxed geometry from Alexandria via LeMat-Bulk. Energies are from meta-GGA SCAN.

Unit cell a=6.2702 b=6.2702 c=6.2702 alpha=90.00 beta=90.00 gamma=90.00
Space group Fm-3m (No. 225)
One atom of each set of equivalent atoms:
Zr (0.0000, 0.0000, 0.0000) x4
V (0.2500, 0.2500, 0.2500) x8
Mo (0.0000, 0.0000, 0.5000) x4

Calculated values
E_tot = -25.059 eV per atom

=====

Here is SbTeAu2 at its PBEsol-relaxed geometry from Alexandria via LeMat-Bulk. Energies are from meta-GGA SCAN.

Unit cell a=4.0290 b=4.0290 c=19.4952 alpha=90.00 beta=90.00 gamma=120.00
Space group R-3m (No. 166, hexagonal axes)
One atom of each set of equivalent atoms:
Sb (0.0000, 0.0000, 0.0000) x3
Te (0.0000, 0.0000, 0.5000) x3
Au (0.0000, 0.0000, 0.2518) x6

Calculated values
E_form (uncorrected) = -0.150 eV per atom
E_tot = -53.357 eV per atom